# TaNiRh3 | Alexandria | GGA-PBE | relaxed
# Offset from the most stable computed form ... 796 meV per atom
# Uncorrected energy ... -7.023 eV/atom
# DOS(E_F) ... 7.2 states/eV per cell
# Magnetic moment ... 1.15 μB/f.u.
data_TaNiRh3
_chemical_formula_sum 'Ta1 Ni1 Rh3'
_cell_length_a 4.388
_cell_length_b 4.388
_cell_length_c 4.388
_cell_angle_alpha 90.00
_cell_angle_beta 90.00
_cell_angle_gamma 90.00
_space_group_name_H-M_alt 'P m -3 m'
_space_group_IT_number 221
_space_group_name_Hall '-P 4 2 3'
loop_
_atom_site_label
_atom_site_type_symbol
_atom_site_fract_x
_atom_site_fract_y
_atom_site_fract_z
Ta1 Ta 0.000 0.000 0.000
Ni1 Ni 0.500 0.500 0.500
Rh1 Rh 0.000 0.500 0.500

=====

# TaNi23Rh6 | Alexandria | GGA-PBE | relaxed
# Uncorrected energy ... -6.238 eV/atom
# DOS(E_F) ... 173.9 states/eV per cell
# Magnetic moment ... 17.51 μB/f.u.
data_TaNi23Rh6
_chemical_formula_sum 'Ta4 Ni92 Rh24'
_cell_length_a 11.313
_cell_length_b 11.313
_cell_length_c 11.313
_cell_angle_alpha 90.00
_cell_angle_beta 90.00
_cell_angle_gamma 90.00
_space_group_name_H-M_alt 'F m -3 m'
_space_group_IT_number 225
_space_group_name_Hall '-F 4 2 3'
loop_
_atom_site_label
_atom_site_type_symbol
_atom_site_fract_x
_atom_site_fract_y
_atom_site_fract_z
Ta1 Ta 0.000 0.000 0.000
Ni1 Ni 0.000 0.000 0.500
Ni2 Ni 0.000 0.250 0.250
Ni3 Ni 0.122 0.122 0.378
Ni4 Ni 0.163 0.163 0.163
Rh1 Rh 0.000 0.000 0.228

=====

# Ta2NiRh5 | Alexandria | GGA-PBE | relaxed
# Uncorrected energy ... -8.850 eV/atom
# DOS(E_F) ... 11.3 states/eV per cell
# Magnetic moment ... 0.00 μB/f.u.
data_Ta2NiRh5
_chemical_formula_sum 'Ta4 Ni2 Rh10'
_cell_length_a 5.466
_cell_length_b 10.901
_cell_length_c 3.896
_cell_angle_alpha 90.00
_cell_angle_beta 90.00
_cell_angle_gamma 90.00
_space_group_name_H-M_alt 'P b a m'
_space_group_IT_number 55
_space_group_name_Hall '-P 2 2ab'
loop_
_atom_site_label
_atom_site_type_symbol
_atom_site_fract_x
_atom_site_fract_y
_atom_site_fract_z
Ta1 Ta 0.245 0.124 0.000
Ni1 Ni 0.000 0.500 0.500
Rh1 Rh 0.000 0.000 0.500
Rh2 Rh 0.012 0.749 0.500
Rh3 Rh 0.237 0.379 0.000

=====

# TaNi8Rh6 | Alexandria | GGA-PBE | relaxed
# Uncorrected energy ... -6.894 eV/atom
# DOS(E_F) ... 24.8 states/eV per cell
# Magnetic moment ... 5.76 μB/f.u.
data_TaNi8Rh6
_chemical_formula_sum 'Ta1 Ni8 Rh6'
_cell_length_a 4.577
_cell_length_b 6.917
_cell_length_c 6.932
_cell_angle_alpha 94.85
_cell_angle_beta 108.63
_cell_angle_gamma 108.96
_space_group_name_H-M_alt 'P -1'
_space_group_IT_number 2
_space_group_name_Hall '-P 1'
loop_
_atom_site_label
_atom_site_type_symbol
_atom_site_fract_x
_atom_site_fract_y
_atom_site_fract_z
Ta1 Ta 0.000 0.000 0.000
Ni1 Ni 0.061 0.466 0.332
Ni2 Ni 0.272 0.860 0.331
Ni3 Ni 0.329 0.333 0.667
Ni4 Ni 0.400 0.802 0.002
Rh1 Rh 0.140 0.936 0.667
Rh2 Rh 0.198 0.402 0.997
Rh3 Rh 0.473 0.273 0.339